This record from Alexandria via LeMat-Bulk describes a relaxed structure of Zn2OsRu. The functional is GGA-PBEsol.

Cell: 2.978 2.978 5.973 Å, 90.00 90.00 90.00°
Positions (direct):
Zn 0.000 0.000 0.247
Zn 0.000 0.000 0.753
Os 0.500 0.500 0.500
Ru 0.500 0.500 0.000

Output
The energy is -6.057 eV/atom. The energy of formation is 0.331 eV/atom.